# CaP4

A relaxed CaP4 crystal (GGA-PBE, Alexandria).

Structure (POSCAR):
```
CaP4
1.0
-3.0167 3.0167 3.0167
3.0167 -3.0167 3.0167
3.0167 3.0167 -3.0167
Ca P
1 4
Direct
0.0000 0.0000 0.0000
0.0000 0.0000 0.5000
0.0000 0.5000 0.0000
0.5000 0.0000 0.0000
0.5000 0.5000 0.5000
```

**Volume**: 22.0 Å³/atom
**Space group**: Im-3m (229)
**Energy above the most stable polymorph in this dataset**: 1148 meV/atom

---

# CaP3

A relaxed CaP3 crystal (GGA-PBE, Alexandria).

Structure (POSCAR):
```
CaP3
1.0
3.5463 0.0000 0.0000
0.0000 3.7687 0.0000
0.0000 0.0000 5.5329
Ca P
1 3
Direct
0.0000 0.0000 0.0000
0.0000 0.0000 0.5000
0.5000 0.5000 0.3059
0.5000 0.5000 0.6941
```

**Volume**: 18.5 Å³/atom
**Space group**: Pmmm (47)
**E**: -18.6 eV for the cell shown

---

# Ca3P

A relaxed Ca3P crystal (GGA-PBE, Alexandria).

Structure (POSCAR):
```
Ca3P
1.0
7.2287 0.0000 0.0000
0.0000 3.8615 0.0000
-3.0073 0.0000 9.5192
Ca P
6 2
Direct
0.0335 0.2500 0.3104
0.2904 0.7500 0.0285
0.4199 0.7500 0.6509
0.5801 0.2500 0.3491
0.7096 0.2500 0.9715
0.9665 0.7500 0.6896
0.2850 0.2500 0.8127
0.7150 0.7500 0.1873
```

**Volume**: 33.2 Å³/atom
**Space group**: P2_1/m (11)
**Energy above the most stable polymorph in this dataset**: 0 meV/atom

---

# Ca6P7

A relaxed Ca6P7 crystal (GGA-PBE, Alexandria).

Structure (POSCAR):
```
Ca6P7
1.0
2.7861 1.6085 12.1180
-2.7861 1.6085 12.1180
0.0000 -3.2171 12.1180
Ca P
6 7
Direct
0.0820 0.0820 0.0820
0.2017 0.2017 0.2017
0.3281 0.3281 0.3281
0.6719 0.6719 0.6719
0.7983 0.7983 0.7983
0.9180 0.9180 0.9180
0.1097 0.5430 0.5430
0.4570 0.4570 0.8903
0.4570 0.8903 0.4570
0.5000 0.5000 0.5000
0.5430 0.1097 0.5430
0.5430 0.5430 0.1097
0.8903 0.4570 0.4570
```

**Volume**: 25.1 Å³/atom
**Space group**: R-3m (166)
**E**: -56.9 eV for the cell shown

---

# CaP3

A relaxed CaP3 crystal (GGA-PBE, Alexandria).

Structure (POSCAR):
```
CaP3
1.0
4.1263 0.0000 0.0000
0.0000 4.1263 0.0000
0.0000 0.0000 4.1263
Ca P
1 3
Direct
0.0000 0.0000 0.0000
0.0000 0.5000 0.5000
0.5000 0.0000 0.5000
0.5000 0.5000 0.0000
```

**Volume**: 17.6 Å³/atom
**Space group**: Pm-3m (221)
**E**: -18.5 eV for the cell shown

---

# Ca2P

A relaxed Ca2P crystal (GGA-PBE, Alexandria).

Structure (POSCAR):
```
Ca2P
1.0
6.7115 0.0000 0.0000
0.0000 6.7518 0.0000
0.0000 0.0000 4.2455
Ca P
4 2
Direct
0.2119 0.1895 0.0000
0.2881 0.6895 0.5000
0.7119 0.3105 0.5000
0.7881 0.8105 0.0000
0.0000 0.0000 0.5000
0.5000 0.5000 0.0000
```

**Volume**: 32.1 Å³/atom
**Space group**: Pnnm (58)
**E**: -24.0 eV for the cell shown

---

Which of these has the lowest volume? number 5

---

Among the records above, which one has the lowest volume? number 5

---

Which formula does entry 5 have? CaP3

---

What did the second record say?
# CaP3

A relaxed CaP3 crystal (GGA-PBE, Alexandria).

Structure (POSCAR):
```
CaP3
1.0
3.5463 0.0000 0.0000
0.0000 3.7687 0.0000
0.0000 0.0000 5.5329
Ca P
1 3
Direct
0.0000 0.0000 0.0000
0.0000 0.0000 0.5000
0.5000 0.5000 0.3059
0.5000 0.5000 0.6941
```

**Volume**: 18.5 Å³/atom
**Space group**: Pmmm (47)
**E**: -18.6 eV for the cell shown